! YZnAgF6 (PBE-GGA, optimized geometry); values from VASP
! - V (Å³/atom) = 16.0
&SYSTEM
  ibrav = 0, nat = 18, ntyp = 4
/
ATOMIC_SPECIES
F 19.00 F.upf
Y 88.91 Y.upf
Zn 65.41 Zn.upf
Ag 107.87 Ag.upf
CELL_PARAMETERS angstrom
5.7750 0.0000 0.0000
-2.8875 5.0013 0.0000
0.0000 0.0000 9.9541
ATOMIC_POSITIONS crystal
F 0.3585 0.3755 0.8609
F 0.6415 0.0170 0.3609
F 0.6415 0.6245 0.1391
F 0.6245 0.6415 0.6391
F 0.0170 0.3755 0.6391
F 0.9830 0.6245 0.3609
F 0.3755 0.0170 0.1391
F 0.3585 0.9830 0.6391
F 0.0170 0.6415 0.8609
F 0.3755 0.3585 0.3609
F 0.6245 0.9830 0.8609
F 0.9830 0.3585 0.1391
Y 0.6667 0.3333 0.7500
Y 0.3333 0.6667 0.2500
Zn 0.6667 0.3333 0.2500
Zn 0.3333 0.6667 0.7500
Ag 0.0000 0.0000 0.0000
Ag 0.0000 0.0000 0.5000

***

! ZnAgF3 (PBE-GGA, optimized geometry); values from VASP
! - V (Å³/atom) = 13.2
&SYSTEM
  ibrav = 0, nat = 10, ntyp = 3
/
ATOMIC_SPECIES
F 19.00 F.upf
Ag 107.87 Ag.upf
Zn 65.41 Zn.upf
CELL_PARAMETERS angstrom
4.1016 -0.0002 -0.0012
0.0002 5.6687 -0.0001
0.0015 0.0001 5.6682
ATOMIC_POSITIONS crystal
F 0.5408 0.0288 0.1671
F 0.0409 0.3440 0.9822
F 0.0410 0.8442 0.8515
F 0.0409 0.2136 0.4822
F 0.0410 0.7133 0.3515
F 0.5408 0.5287 0.6671
Ag 0.5410 0.5282 0.1674
Ag 0.5410 0.0294 0.6674
Zn 0.0408 0.5289 0.6669
Zn 0.0408 0.0286 0.1669

***

! ZnAg3F (PBE-GGA, optimized geometry); values from VASP
! - distance to the lowest polymorph of the same formula (meV/atom) = 277
! - V (Å³/atom) = 23.3
&SYSTEM
  ibrav = 0, nat = 5, ntyp = 3
/
ATOMIC_SPECIES
Ag 107.87 Ag.upf
F 19.00 F.upf
Zn 65.41 Zn.upf
CELL_PARAMETERS angstrom
-0.6735 -1.0012 4.7356
-1.7771 -4.3961 -1.1822
4.5022 -1.8850 0.2418
ATOMIC_POSITIONS crystal
Ag 0.0000 0.0000 0.5000
Ag 0.0000 0.5000 0.0000
Ag 0.5000 0.0000 0.0000
F 0.5000 0.5000 0.5000
Zn 0.0000 0.0000 0.0000

***

! ZnAg6F12 (PBE-GGA, optimized geometry); values from VASP
! - V (Å³/atom) = 15.1
&SYSTEM
  ibrav = 0, nat = 19, ntyp = 3
/
ATOMIC_SPECIES
F 19.00 F.upf
Zn 65.41 Zn.upf
Ag 107.87 Ag.upf
CELL_PARAMETERS angstrom
6.6087 0.0697 -1.3025
-1.5972 6.4132 -1.3025
0.0539 0.0697 6.7356
ATOMIC_POSITIONS crystal
F 0.0775 0.3023 0.9756
F 0.8288 0.3706 0.5739
F 0.5739 0.8288 0.3706
F 0.9756 0.0775 0.3023
F 0.0244 0.9225 0.6977
F 0.6977 0.0244 0.9225
F 0.9225 0.6977 0.0244
F 0.3023 0.9756 0.0775
F 0.3706 0.5739 0.8288
F 0.1712 0.6294 0.4261
F 0.6294 0.4261 0.1712
F 0.4261 0.1712 0.6294
Zn 0.0000 0.0000 0.0000
Ag 0.6009 0.1397 0.2898
Ag 0.8603 0.7102 0.3991
Ag 0.3991 0.8603 0.7102
Ag 0.2898 0.6009 0.1397
Ag 0.1397 0.2898 0.6009
Ag 0.7102 0.3991 0.8603

***

! ZnAg4F7 (PBE-GGA, optimized geometry); values from VASP
! - V (Å³/atom) = 16.0
&SYSTEM
  ibrav = 0, nat = 12, ntyp = 3
/
ATOMIC_SPECIES
Zn 65.41 Zn.upf
F 19.00 F.upf
Ag 107.87 Ag.upf
CELL_PARAMETERS angstrom
3.6200 0.0000 -1.1822
-1.2485 5.5993 -3.8228
0.8849 0.4800 8.8427
ATOMIC_POSITIONS crystal
Zn 0.0000 0.0000 0.0000
F 0.7089 0.7981 0.4179
F 0.0125 0.7203 0.0251
F 0.9875 0.2797 0.9749
F 0.8531 0.7573 0.7063
F 0.1469 0.2427 0.2937
F 0.5000 0.0000 0.0000
F 0.2911 0.2019 0.5821
Ag 0.2881 0.8074 0.5762
Ag 0.5734 0.4656 0.1467
Ag 0.7119 0.1926 0.4238
Ag 0.4266 0.5344 0.8533

***

! ZnAgF3 (PBE-GGA, optimized geometry); values from VASP
! - V (Å³/atom) = 16.4
&SYSTEM
  ibrav = 0, nat = 5, ntyp = 3
/
ATOMIC_SPECIES
Zn 65.41 Zn.upf
F 19.00 F.upf
Ag 107.87 Ag.upf
CELL_PARAMETERS angstrom
4.3435 0.0000 0.0000
0.0000 4.3435 0.0000
0.0000 0.0000 4.3435
ATOMIC_POSITIONS crystal
Zn 0.5000 0.5000 0.5000
F 0.5000 0.0000 0.0000
F 0.0000 0.0000 0.5000
F 0.0000 0.5000 0.0000
Ag 0.0000 0.0000 0.0000

***

! ZnAgF4 (PBE-GGA, optimized geometry); values from VASP
! - distance to the lowest polymorph of the same formula (meV/atom) = 0
! - V (Å³/atom) = 13.5
&SYSTEM
  ibrav = 0, nat = 12, ntyp = 3
/
ATOMIC_SPECIES
F 19.00 F.upf
Ag 107.87 Ag.upf
Zn 65.41 Zn.upf
CELL_PARAMETERS angstrom
5.0309 0.0000 0.0000
0.0000 5.7194 0.3528
0.0000 -1.9688 5.5120
ATOMIC_POSITIONS crystal
F 0.7487 0.2114 0.8760
F 0.8231 0.1448 0.3484
F 0.2513 0.7886 0.1240
F 0.2487 0.2886 0.1240
F 0.1769 0.8552 0.6516
F 0.7513 0.7114 0.8760
F 0.6769 0.6448 0.3484
F 0.3231 0.3552 0.6516
Ag 0.0000 0.5000 0.5000
Ag 0.5000 0.0000 0.5000
Zn 0.0000 0.0000 0.0000
Zn 0.5000 0.5000 0.0000

***

! ZnAgF2 (PBE-GGA, optimized geometry); values from VASP
! - distance to the lowest polymorph of the same formula (meV/atom) = 409
! - V (Å³/atom) = 13.3
&SYSTEM
  ibrav = 0, nat = 4, ntyp = 3
/
ATOMIC_SPECIES
Ag 107.87 Ag.upf
Zn 65.41 Zn.upf
F 19.00 F.upf
CELL_PARAMETERS angstrom
3.6748 -0.3507 2.0463
0.3724 -2.7019 3.2212
2.3318 -3.4915 -0.4329
ATOMIC_POSITIONS crystal
Ag 0.5000 0.5000 0.5000
Zn 0.0000 0.0000 0.0000
F 0.7500 0.7500 0.7500
F 0.2500 0.2500 0.2500

***

no.,raw formation energy (eV per atom)
1,-2.755
2,-1.771
3,0.290
4,-1.292
5,-1.300
6,-0.924
7,-1.694
8,-1.036